(1)
{
  "formula": "MnMo2Pt",
  "functional": "PBE",
  "state": "relaxed",
  "lattice_angstrom": [[3.2121, 0.0000, 0.0000], [0.0000, 3.2121, 0.0000], [0.0000, 0.0000, 5.9294]],
  "species": ["Mn", "Mo", "Mo", "Pt"],
  "frac_coords": [[0.0000, 0.0000, 0.0000], [0.0000, 0.0000, 0.4849], [0.5000, 0.5000, 0.2437], [0.5000, 0.5000, 0.7616]],
  "space_group": "No. 99",
  "e_form_ev_per_fu": -0.118
}



(2)
{
  "formula": "La4SmDy3Se8",
  "functional": "PBE",
  "state": "relaxed",
  "lattice_angstrom": [[4.1889, 2.4185, 6.9279], [-4.1889, 2.4185, 6.9279], [0.0000, -4.8369, 6.9279]],
  "species": ["La", "La", "La", "La", "Sm", "Dy", "Dy", "Dy", "Se", "Se", "Se", "Se", "Se", "Se", "Se", "Se"],
  "frac_coords": [[0.0000, 0.0000, 0.0000], [0.0000, 0.5000, 0.5000], [0.5000, 0.0000, 0.5000], [0.5000, 0.5000, 0.0000], [0.5000, 0.5000, 0.5000], [0.0000, 0.0000, 0.5000], [0.0000, 0.5000, 0.0000], [0.5000, 0.0000, 0.0000], [0.2401, 0.7468, 0.7468], [0.2435, 0.2435, 0.2435], [0.2532, 0.2532, 0.7599], [0.2532, 0.7599, 0.2532], [0.7468, 0.2401, 0.7468], [0.7468, 0.7468, 0.2401], [0.7565, 0.7565, 0.7565], [0.7599, 0.2532, 0.2532]],
  "space_group": "No. 166",
  "e_form_raw_ev_per_atom": -1.885
}



(3)
{
  "formula": "YCuIr3",
  "functional": "PBE",
  "state": "relaxed",
  "lattice_angstrom": [[4.5433, 0.0000, 0.0000], [0.0000, 4.5433, 0.0000], [0.0000, 0.0000, 4.5433]],
  "species": ["Y", "Cu", "Ir", "Ir", "Ir"],
  "frac_coords": [[0.0000, 0.0000, 0.0000], [0.5000, 0.5000, 0.5000], [0.0000, 0.5000, 0.5000], [0.5000, 0.0000, 0.5000], [0.5000, 0.5000, 0.0000]],
  "space_group": "No. 221",
  "e_form_ev_per_fu": 2.999
}



(4)
{
  "formula": "Al3Ga4",
  "functional": "PBE",
  "state": "relaxed",
  "lattice_angstrom": [[14.1622, 0.0000, 0.0000], [0.0000, 2.8556, 0.0000], [-3.7327, 0.0000, 6.2504]],
  "species": ["Al", "Al", "Al", "Al", "Al", "Al", "Ga", "Ga", "Ga", "Ga", "Ga", "Ga", "Ga", "Ga"],
  "frac_coords": [[0.0000, 0.0000, 0.0000], [0.2292, 0.0000, 0.3044], [0.2708, 0.5000, 0.6956], [0.5000, 0.5000, 0.0000], [0.7292, 0.5000, 0.3044], [0.7708, 0.0000, 0.6956], [0.0732, 0.0000, 0.4326], [0.1390, 0.5000, 0.8854], [0.3610, 0.0000, 0.1146], [0.4268, 0.5000, 0.5674], [0.5732, 0.5000, 0.4326], [0.6390, 0.0000, 0.8854], [0.8610, 0.5000, 0.1146], [0.9268, 0.0000, 0.5674]],
  "space_group": "No. 12",
  "e_form_ev_per_fu": 0.318
}



(5)
{
  "formula": "Na4Sm",
  "functional": "PBE",
  "state": "relaxed",
  "lattice_angstrom": [[6.5802, 0.0000, 0.0000], [0.0000, 6.5802, 0.0000], [0.0000, 0.0000, 6.5802]],
  "species": ["Na", "Na", "Na", "Na", "Sm"],
  "frac_coords": [[0.0000, 0.0000, 0.0000], [0.0000, 0.5000, 0.5000], [0.5000, 0.0000, 0.5000], [0.5000, 0.5000, 0.0000], [0.5000, 0.5000, 0.5000]],
  "space_group": "No. 221",
  "e_form_ev_per_fu": 4.058
}



(6)
{
  "formula": "LiTlRu3",
  "functional": "PBE",
  "state": "relaxed",
  "lattice_angstrom": [[4.2383, 0.0000, 0.0000], [0.0000, 4.2383, 0.0000], [0.0000, 0.0000, 4.2383]],
  "species": ["Li", "Tl", "Ru", "Ru", "Ru"],
  "frac_coords": [[0.0000, 0.0000, 0.0000], [0.5000, 0.5000, 0.5000], [0.0000, 0.0000, 0.5000], [0.0000, 0.5000, 0.0000], [0.5000, 0.0000, 0.0000]],
  "space_group": "No. 221",
  "e_form_ev_per_fu": 5.434
}



(7)
{
  "formula": "ScZnSi2",
  "functional": "PBE",
  "state": "relaxed",
  "lattice_angstrom": [[3.7260, 0.0000, 0.0000], [0.0000, 3.8416, 0.0000], [0.0000, 0.0000, 8.9166]],
  "species": ["Sc", "Sc", "Zn", "Zn", "Si", "Si", "Si", "Si"],
  "frac_coords": [[0.0000, 0.0000, 0.0000], [0.5000, 0.5000, 0.5000], [0.0000, 0.5000, 0.2413], [0.5000, 0.0000, 0.7413], [0.0000, 0.0000, 0.4674], [0.0000, 0.5000, 0.7497], [0.5000, 0.0000, 0.2497], [0.5000, 0.5000, 0.9674]],
  "space_group": "No. 44",
  "e_form_raw_ev_per_atom": -0.304
}



(8)
{
  "formula": "BaBe3Nb",
  "functional": "PBE",
  "state": "relaxed",
  "lattice_angstrom": [[4.6703, 0.0000, 0.0000], [0.0000, 4.6703, 0.0000], [0.0000, 0.0000, 4.6703]],
  "species": ["Ba", "Be", "Be", "Be", "Nb"],
  "frac_coords": [[0.0000, 0.0000, 0.0000], [0.0000, 0.0000, 0.5000], [0.0000, 0.5000, 0.0000], [0.5000, 0.0000, 0.0000], [0.5000, 0.5000, 0.5000]],
  "space_group": "No. 221",
  "e_form_ev_per_fu": 12.211
}



(9)
{
  "formula": "LiCoTcRh",
  "functional": "PBE",
  "state": "relaxed",
  "lattice_angstrom": [[5.9164, 0.0000, 0.0000], [0.0000, 5.9164, 0.0000], [0.0000, 0.0000, 5.9164]],
  "species": ["Li", "Li", "Li", "Li", "Co", "Co", "Co", "Co", "Tc", "Tc", "Tc", "Tc", "Rh", "Rh", "Rh", "Rh"],
  "frac_coords": [[0.0000, 0.0000, 0.0000], [0.0000, 0.5000, 0.5000], [0.5000, 0.0000, 0.5000], [0.5000, 0.5000, 0.0000], [0.2500, 0.2500, 0.2500], [0.2500, 0.7500, 0.7500], [0.7500, 0.2500, 0.7500], [0.7500, 0.7500, 0.2500], [0.0000, 0.0000, 0.5000], [0.0000, 0.5000, 0.0000], [0.5000, 0.0000, 0.0000], [0.5000, 0.5000, 0.5000], [0.2500, 0.2500, 0.7500], [0.2500, 0.7500, 0.2500], [0.7500, 0.2500, 0.2500], [0.7500, 0.7500, 0.7500]],
  "space_group": "No. 216",
  "e_form_ev_per_fu": 0.369
}



(10)
{
  "formula": "Tb4PrNdS8",
  "functional": "PBE",
  "state": "relaxed",
  "lattice_angstrom": [[4.0779, 2.3544, 6.7278], [-4.0779, 2.3544, 6.7278], [0.0000, -4.7088, 6.7278]],
  "species": ["Tb", "Tb", "Tb", "Tb", "Pr", "Nd", "S", "S", "S", "S", "S", "S", "S", "S"],
  "frac_coords": [[0.0000, 0.0000, 0.0000], [0.3736, 0.3736, 0.8766], [0.3736, 0.8766, 0.3736], [0.8766, 0.3736, 0.3736], [0.7480, 0.7480, 0.7480], [0.3735, 0.3735, 0.3735], [0.1255, 0.1255, 0.6064], [0.1255, 0.6064, 0.1255], [0.1320, 0.1320, 0.1320], [0.1548, 0.6187, 0.6187], [0.6064, 0.1255, 0.1255], [0.6120, 0.6120, 0.6120], [0.6187, 0.1548, 0.6187], [0.6187, 0.6187, 0.1548]],
  "space_group": "No. 160",
  "e_form_raw_ev_per_atom": -1.924
}



(11)
{
  "formula": "Sm4PaSb5",
  "functional": "PBE",
  "state": "relaxed",
  "lattice_angstrom": [[-4.9709, 4.9709, 3.1438], [4.9709, -4.9709, 3.1438], [4.9709, 4.9709, -3.1438]],
  "species": ["Sm", "Sm", "Sm", "Sm", "Pa", "Sb", "Sb", "Sb", "Sb", "Sb"],
  "frac_coords": [[0.0980, 0.6980, 0.7960], [0.3020, 0.0980, 0.4000], [0.6980, 0.9020, 0.6000], [0.9020, 0.3020, 0.2040], [0.5000, 0.5000, 0.0000], [0.0000, 0.0000, 0.0000], [0.2059, 0.4017, 0.6076], [0.4017, 0.7941, 0.1958], [0.5983, 0.2059, 0.8042], [0.7941, 0.5983, 0.3924]],
  "space_group": "No. 87",
  "e_form_raw_ev_per_atom": -1.037
}



(12)
{
  "formula": "Nb2IrPb2",
  "functional": "PBE",
  "state": "relaxed",
  "lattice_angstrom": [[6.9519, 0.0000, 0.0000], [0.0000, 6.9519, 0.0000], [0.0000, 0.0000, 4.4125]],
  "species": ["Nb", "Nb", "Nb", "Nb", "Ir", "Ir", "Pb", "Pb", "Pb", "Pb"],
  "frac_coords": [[0.1430, 0.3570, 0.0000], [0.3570, 0.8570, 0.0000], [0.6430, 0.1430, 0.0000], [0.8570, 0.6430, 0.0000], [0.0000, 0.0000, 0.5000], [0.5000, 0.5000, 0.5000], [0.1532, 0.6532, 0.5000], [0.3468, 0.1532, 0.5000], [0.6532, 0.8468, 0.5000], [0.8468, 0.3468, 0.5000]],
  "space_group": "No. 127",
  "e_form_ev_per_fu": 3.223
}



(13)
{
  "formula": "Ce3HOs2",
  "functional": "PBE",
  "state": "relaxed",
  "lattice_angstrom": [[4.4429, -4.1127, 0.0000], [4.4429, 4.1127, 0.0000], [-1.1988, 0.0000, 6.2759]],
  "species": ["Ce", "Ce", "Ce", "Ce", "Ce", "Ce", "H", "H", "Os", "Os", "Os", "Os"],
  "frac_coords": [[0.1390, 0.8610, 0.7500], [0.2667, 0.3821, 0.0175], [0.3821, 0.2667, 0.5175], [0.6179, 0.7333, 0.4825], [0.7333, 0.6179, 0.9825], [0.8610, 0.1390, 0.2500], [0.4172, 0.5828, 0.7500], [0.5828, 0.4172, 0.2500], [0.0726, 0.6476, 0.3331], [0.3524, 0.9274, 0.1669], [0.6476, 0.0726, 0.8331], [0.9274, 0.3524, 0.6669]],
  "total_energy_ev_per_atom": -7.524,
  "space_group": "No. 15"
}



(14)
{
  "formula": "MgVNi2",
  "functional": "PBE",
  "state": "relaxed",
  "lattice_angstrom": [[4.3979, 0.0000, 0.0000], [0.0000, 4.3979, 0.0000], [0.0000, 0.0000, 2.6704]],
  "species": ["Mg", "V", "Ni", "Ni"],
  "frac_coords": [[0.0000, 0.0000, 0.0000], [0.5000, 0.5000, 0.0000], [0.0000, 0.5000, 0.5000], [0.5000, 0.0000, 0.5000]],
  "space_group": "No. 123",
  "e_form_ev_per_fu": -0.257
}



(15)
{
  "formula": "Ca2Al4Ga3Ge",
  "functional": "PBE",
  "state": "relaxed",
  "lattice_angstrom": [[4.3953, 0.0000, 0.0000], [0.0000, 4.3953, 0.0000], [0.0000, 0.0000, 10.7609]],
  "species": ["Ca", "Ca", "Al", "Al", "Al", "Al", "Ga", "Ga", "Ga", "Ge"],
  "frac_coords": [[0.0000, 0.5000, 0.2489], [0.5000, 0.0000, 0.7511], [0.0000, 0.0000, 0.0000], [0.0000, 0.5000, 0.6326], [0.5000, 0.0000, 0.3674], [0.5000, 0.5000, 0.0000], [0.0000, 0.5000, 0.8650], [0.5000, 0.0000, 0.1350], [0.5000, 0.5000, 0.5000], [0.0000, 0.0000, 0.5000]],
  "space_group": "No. 115",
  "e_form_ev_per_fu": -2.870
}



(16)
{
  "formula": "TbGa5CuNi2",
  "functional": "PBE",
  "state": "relaxed",
  "lattice_angstrom": [[4.1946, 0.0000, 0.0000], [0.0000, 4.1946, 0.0000], [0.0000, 0.0000, 9.4492]],
  "species": ["Tb", "Ga", "Ga", "Ga", "Ga", "Ga", "Cu", "Ni", "Ni"],
  "frac_coords": [[0.0000, 0.0000, 0.0000], [0.0000, 0.5000, 0.3441], [0.0000, 0.5000, 0.6559], [0.5000, 0.0000, 0.3441], [0.5000, 0.0000, 0.6559], [0.5000, 0.5000, 0.0000], [0.0000, 0.0000, 0.5000], [0.5000, 0.5000, 0.2318], [0.5000, 0.5000, 0.7682]],
  "space_group": "No. 123",
  "e_form_ev_per_fu": -1.490
}



(17)
{
  "formula": "Sc2TcOs",
  "functional": "PBE",
  "state": "relaxed",
  "lattice_angstrom": [[3.2252, 0.0000, 0.0000], [0.0000, 4.8463, 0.0000], [0.0000, 0.0000, 8.6014]],
  "species": ["Sc", "Sc", "Sc", "Sc", "Tc", "Tc", "Os", "Os"],
  "frac_coords": [[0.0000, 0.0000, 0.2495], [0.0000, 0.0000, 0.7505], [0.5000, 0.5000, 0.2505], [0.5000, 0.5000, 0.7495], [0.0000, 0.5000, 0.5000], [0.5000, 0.0000, 0.0000], [0.0000, 0.5000, 0.0000], [0.5000, 0.0000, 0.5000]],
  "space_group": "No. 71",
  "e_form_ev_per_fu": -0.429
}



(18)
{
  "formula": "Mg2NiBi2",
  "functional": "PBE",
  "state": "relaxed",
  "lattice_angstrom": [[3.7749, 0.0000, 0.0000], [0.0000, 3.7749, 0.0000], [0.0000, 0.0000, 17.3664]],
  "species": ["Mg", "Mg", "Mg", "Mg", "Ni", "Ni", "Bi", "Bi", "Bi", "Bi"],
  "frac_coords": [[0.0000, 0.5000, 0.2500], [0.0000, 0.5000, 0.7500], [0.5000, 0.0000, 0.2500], [0.5000, 0.0000, 0.7500], [0.0000, 0.0000, 0.0000], [0.5000, 0.5000, 0.5000], [0.0000, 0.0000, 0.4102], [0.0000, 0.0000, 0.5898], [0.5000, 0.5000, 0.0898], [0.5000, 0.5000, 0.9102]],
  "space_group": "No. 139",
  "e_form_ev_per_fu": 1.985
}



(19)
{
  "formula": "BiSO2F",
  "functional": "PBE",
  "state": "relaxed",
  "lattice_angstrom": [[4.3353, 0.0000, 0.0000], [0.0000, 4.3353, 0.0000], [0.0000, 0.0000, 3.7657]],
  "species": ["Bi", "S", "O", "O", "F"],
  "frac_coords": [[0.0000, 0.0000, 0.0000], [0.5000, 0.5000, 0.0000], [0.0000, 0.5000, 0.5000], [0.5000, 0.0000, 0.5000], [0.5000, 0.5000, 0.5000]],
  "space_group": "No. 123",
  "e_form_raw_ev_per_atom": 0.318
}



(20)
{
  "formula": "Mg2MoPb",
  "functional": "PBE",
  "state": "relaxed",
  "lattice_angstrom": [[6.9811, 0.0000, 0.0000], [0.0000, 6.9811, 0.0000], [0.0000, 0.0000, 6.9811]],
  "species": ["Mg", "Mg", "Mg", "Mg", "Mg", "Mg", "Mg", "Mg", "Mo", "Mo", "Mo", "Mo", "Pb", "Pb", "Pb", "Pb"],
  "frac_coords": [[0.0000, 0.0000, 0.0000], [0.0000, 0.5000, 0.5000], [0.2500, 0.2500, 0.2500], [0.2500, 0.7500, 0.7500], [0.5000, 0.0000, 0.5000], [0.5000, 0.5000, 0.0000], [0.7500, 0.2500, 0.7500], [0.7500, 0.7500, 0.2500], [0.2500, 0.2500, 0.7500], [0.2500, 0.7500, 0.2500], [0.7500, 0.2500, 0.2500], [0.7500, 0.7500, 0.7500], [0.0000, 0.0000, 0.5000], [0.0000, 0.5000, 0.0000], [0.5000, 0.0000, 0.0000], [0.5000, 0.5000, 0.5000]],
  "space_group": "No. 216",
  "e_form_ev_per_fu": 2.163
}



(21)
{
  "formula": "La8Pt3CBr4",
  "functional": "PBE",
  "state": "relaxed",
  "lattice_angstrom": [[7.2899, -4.2021, 0.0000], [7.2899, 4.2021, 0.0000], [-4.8634, 0.0000, 7.7957]],
  "species": ["La", "La", "La", "La", "La", "La", "La", "La", "Pt", "Pt", "Pt", "C", "Br", "Br", "Br", "Br"],
  "frac_coords": [[0.2192, 0.7562, 0.6939], [0.2197, 0.2197, 0.6942], [0.2438, 0.7808, 0.3061], [0.2662, 0.2662, 0.2992], [0.7338, 0.7338, 0.7008], [0.7562, 0.2192, 0.6939], [0.7803, 0.7803, 0.3058], [0.7808, 0.2438, 0.3061], [0.0000, 0.5000, 0.5000], [0.5000, 0.0000, 0.5000], [0.5000, 0.5000, 0.5000], [0.0000, 0.0000, 0.5000], [0.0000, 0.0000, 0.0000], [0.0000, 0.5000, 0.0000], [0.5000, 0.0000, 0.0000], [0.5000, 0.5000, 0.0000]],
  "space_group": "No. 12",
  "e_form_raw_ev_per_atom": -1.177
}



(22)
{
  "formula": "Ag2SnCl5",
  "functional": "PBE",
  "state": "relaxed",
  "lattice_angstrom": [[7.5300, 0.0000, 0.0000], [0.0000, 7.5300, 0.0000], [0.0000, 0.0000, 11.1976]],
  "species": ["Ag", "Ag", "Ag", "Ag", "Sn", "Sn", "Cl", "Cl", "Cl", "Cl", "Cl", "Cl", "Cl", "Cl", "Cl", "Cl"],
  "frac_coords": [[0.0000, 0.5000, 0.0000], [0.0000, 0.5000, 0.5000], [0.5000, 0.0000, 0.0000], [0.5000, 0.0000, 0.5000], [0.0000, 0.0000, 0.4449], [0.5000, 0.5000, 0.9449], [0.0000, 0.0000, 0.2315], [0.2440, 0.2440, 0.4881], [0.2440, 0.7560, 0.4881], [0.2560, 0.2560, 0.9881], [0.2560, 0.7440, 0.9881], [0.5000, 0.5000, 0.7315], [0.7440, 0.2560, 0.9881], [0.7440, 0.7440, 0.9881], [0.7560, 0.2440, 0.4881], [0.7560, 0.7560, 0.4881]],
  "space_group": "No. 107",
  "e_form_raw_ev_per_atom": -0.570
}



(23)
{
  "formula": "BaBeSbTe2",
  "functional": "PBE",
  "state": "relaxed",
  "lattice_angstrom": [[5.6397, 0.0000, 0.0000], [0.0000, 5.6397, 0.0000], [0.0000, 0.0000, 4.7001]],
  "species": ["Ba", "Be", "Sb", "Te", "Te"],
  "frac_coords": [[0.0000, 0.0000, 0.0000], [0.5000, 0.5000, 0.5000], [0.5000, 0.5000, 0.0000], [0.0000, 0.5000, 0.5000], [0.5000, 0.0000, 0.5000]],
  "space_group": "No. 123",
  "e_form_raw_ev_per_atom": -0.405
}



(24)
{
  "formula": "CaMg",
  "functional": "PBE",
  "state": "relaxed",
  "lattice_angstrom": [[4.1572, 0.0000, 0.0000], [0.0000, 14.0208, 0.0000], [0.0000, 0.0000, 6.8842]],
  "species": ["Ca", "Ca", "Ca", "Ca", "Ca", "Ca", "Mg", "Mg", "Mg", "Mg", "Mg", "Mg"],
  "frac_coords": [[0.0000, 0.0000, 0.0000], [0.0000, 0.3037, 0.2535], [0.0000, 0.6963, 0.2535], [0.5000, 0.1963, 0.7535], [0.5000, 0.5000, 0.5000], [0.5000, 0.8037, 0.7535], [0.0000, 0.0000, 0.5233], [0.0000, 0.3848, 0.7855], [0.0000, 0.6152, 0.7855], [0.5000, 0.1152, 0.2855], [0.5000, 0.5000, 0.0233], [0.5000, 0.8848, 0.2855]],
  "space_group": "No. 44",
  "e_form_ev_per_fu": 0.062
}



(25)
{
  "formula": "LiTbSb",
  "functional": "PBE",
  "state": "relaxed",
  "lattice_angstrom": [[8.4511, -2.3460, 0.0000], [8.4511, 2.3460, 0.0000], [-0.1360, 0.0000, 8.3485]],
  "species": ["Li", "Li", "Li", "Li", "Tb", "Tb", "Tb", "Tb", "Sb", "Sb", "Sb", "Sb"],
  "frac_coords": [[0.2256, 0.2256, 0.0868], [0.2404, 0.2404, 0.7174], [0.7596, 0.7596, 0.2826], [0.7744, 0.7744, 0.9132], [0.1133, 0.1133, 0.4115], [0.4569, 0.4569, 0.2299], [0.5431, 0.5431, 0.7701], [0.8867, 0.8867, 0.5885], [0.3039, 0.3039, 0.3903], [0.3744, 0.3744, 0.8907], [0.6256, 0.6256, 0.1093], [0.6961, 0.6961, 0.6097]],
  "space_group": "No. 12",
  "e_form_raw_ev_per_atom": -0.539
}